## BaGdInPb (PBE)

Data for an optimized crystal structure of BaGdInPb.

Summary:
The calculation puts the magnetic moment at 1.82 μB per atom. Its symmetry is F-43m. Its total DFT energy (no corrections) is -23.9 eV per formula unit.

Cell lengths 5.747, 5.747, 5.747 Å; angles 60.00, 60.00, 60.00 degrees
Site moments in Bohr magnetons follow the coordinates.
Atoms (fractional coordinates):
Ba (0.500, 0.500, 0.500)  0.03
Pb (0.750, 0.750, 0.750)  -0.02
In (0.250, 0.250, 0.250)  0.00
Gd (0.000, 0.000, 0.000)  7.03


## BeV3Ir (PBE)

Data for an optimized crystal structure of BeV3Ir.

Summary:
The relative energy among the computed polymorphs comes out at 0.799 eV per atom. The calculation puts the magnetic moment at 0.01 μB per atom. Its symmetry is Pm-3m. Its total DFT energy (no corrections) is -33.7 eV per formula unit.

Cell lengths 4.572, 4.572, 4.572 Å; angles 90.00, 90.00, 90.00 degrees
Atoms (fractional coordinates):
V (0.500, 0.000, 0.000)
Be (0.500, 0.500, 0.500)
Ir (0.000, 0.000, 0.000)
V (0.000, 0.000, 0.500)
V (0.000, 0.500, 0.000)